First-principles (PBE-GGA) data for a relaxed Ba2Er3TmO8 crystal, as listed in the Alexandria database.

a = 6.9325 Å, b = 6.9325 Å, c = 17.9855 Å
α = 90.00°, β = 90.00°, γ = 120.00°
Space group R3m (No. 160, hexagonal axes)
One atom of each set of equivalent atoms:
Ba (0.0000, 0.0000, 0.0000) (multiplicity 3)
Ba (0.0000, 0.0000, 0.3783) (multiplicity 3)
Er (0.0085, 0.5043, 0.8777) (multiplicity 9)
Tm (0.0000, 0.0000, 0.7607) (multiplicity 3)
O (0.0000, 0.0000, 0.1470) (multiplicity 3)
O (0.0000, 0.0000, 0.6218) (multiplicity 3)
O (0.1689, 0.3379, 0.4731) (multiplicity 9)
O (0.1872, 0.3743, 0.9401) (multiplicity 9)

Properties
- uncorrected energy (eV per atom) = -7.5881
- formation energy without anion corrections (eV/atom) = -3.183